No. 1
A geometry-optimized LiInPtBr structure, computed with PBE.

a b c (Å): 3.718 3.733 6.978
angles (deg): 105.41 105.37 90.00
Space group P1 (No. 1)
Inequivalent atoms, fractional coordinates:
Li (0.000, 0.000, 0.000)
In (0.325, 0.326, 0.649)
Pt (0.793, 0.794, 0.583)
Br (0.558, 0.558, 0.117)

Properties
The total moment comes out at 0.0 μB per formula unit. The calculation puts the uncorrected formation energy at -0.7026 eV/atom. Its energy above the lowest structure with this stoichiometry is 0 meV per atom.

No. 2
A geometry-optimized LiInPtBr structure, computed with PBE.

a b c (Å): 4.253 4.306 6.818
angles (deg): 91.19 108.04 118.25
Space group P1 (No. 1)
Inequivalent atoms, fractional coordinates:
Li (0.000, 0.000, 0.000)
In (0.550, 0.760, 0.321)
Pt (0.292, 0.144, 0.439)
Br (0.572, 0.292, 0.860)

Properties
The total moment comes out at 0.0 μB per formula unit. The calculation puts the uncorrected formation energy at -0.5736 eV/atom. Its energy above the lowest structure with this stoichiometry is 129 meV per atom.

No. 3
A geometry-optimized LiInPtBr structure, computed with PBE.

a b c (Å): 3.726 3.794 6.482
angles (deg): 90.00 90.06 90.00
Space group Pm (No. 6)
Inequivalent atoms, fractional coordinates:
Li (0.000, 0.000, 0.000)
In (0.498, 0.500, 0.582)
Pt (0.998, 0.000, 0.580)
Br (0.500, 0.500, 0.081)

Properties
The total moment comes out at 0.0 μB per formula unit. The calculation puts the uncorrected formation energy at -0.6965 eV/atom. Its energy above the lowest structure with this stoichiometry is 6 meV per atom.